Record 1
Zr2TaMn: relaxed, GGA-PBEsol.

Spin magnetization in μB/f.u.: 3.4
Calculated formation energy in eV/atom: 0.294
Distance to the lowest polymorph of the same formula in meV/atom: 5
Total energy in eV per atom: -9.829
SG: I4/mmm
DOS at the Fermi energy in states/eV per cell: 5.3

Cell lengths 5.1208, 5.1208, 5.1208 Å; angles 131.13, 131.13, 71.61 degrees
Positions (direct):
Zr (0.2500, 0.7500, 0.5000)
Zr (0.7500, 0.2500, 0.5000)
Ta (0.0000, 0.0000, 0.0000)
Mn (0.5000, 0.5000, 0.0000)

***

Record 2
MnP2BrO: relaxed, GGA-PBEsol.

Spin magnetization in μB/f.u.: 3.7
Total energy in eV per atom: -4.583
Formation energy from raw total energies in kJ/mol of formula units: 535.2
SG: P4/mmm
DOS at the Fermi energy in states/eV per cell: 2.0

Cell lengths 4.8829, 4.8829, 3.6206 Å; angles 90.00, 90.00, 90.00 degrees
Positions (direct):
Mn (0.0000, 0.0000, 0.0000)
P (0.0000, 0.5000, 0.5000)
P (0.5000, 0.0000, 0.5000)
Br (0.5000, 0.5000, 0.5000)
O (0.5000, 0.5000, 0.0000)

***

Record 3
KRb2AlI6: relaxed, GGA-PBEsol.

Spin magnetization in μB/f.u.: 0.0
Total energy in eV per atom: -2.856
Formation energy from raw total energies in kJ/mol of formula units: -1030.7
SG: Fm-3m
DOS at the Fermi energy in states/eV per cell: 0.0

Cell lengths 8.6937, 8.6937, 8.6937 Å; angles 60.00, 60.00, 60.00 degrees
Positions (direct):
K (0.0000, 0.0000, 0.0000)
Rb (0.2500, 0.2500, 0.2500)
Rb (0.7500, 0.7500, 0.7500)
Al (0.5000, 0.5000, 0.5000)
I (0.2741, 0.2741, 0.7259)
I (0.2741, 0.7259, 0.2741)
I (0.2741, 0.7259, 0.7259)
I (0.7259, 0.2741, 0.2741)
I (0.7259, 0.2741, 0.7259)
I (0.7259, 0.7259, 0.2741)

***

Record 4
ZnBiOF2: relaxed, GGA-PBEsol.

Spin magnetization in μB/f.u.: 0.6
Total energy in eV per atom: -4.129
Formation energy from raw total energies in kJ/mol of formula units: -547.6
SG: P4/mmm
DOS at the Fermi energy in states/eV per cell: 2.5

Cell lengths 4.5376, 4.5376, 4.3776 Å; angles 90.00, 90.00, 90.00 degrees
Positions (direct):
Zn (0.0000, 0.0000, 0.0000)
Bi (0.5000, 0.5000, 0.5000)
O (0.5000, 0.5000, 0.0000)
F (0.0000, 0.5000, 0.5000)
F (0.5000, 0.0000, 0.5000)

***

Record 5
MnInAg: relaxed, GGA-PBEsol.

Spin magnetization in μB/f.u.: 3.7
Calculated formation energy in eV/atom: 0.341
Total energy in eV per atom: -5.011
SG: P3m1
DOS at the Fermi energy in states/eV per cell: 2.2

Cell lengths 3.0176, 3.0176, 6.7749 Å; angles 90.00, 90.00, 120.00 degrees
Positions (direct):
Mn (0.0000, 0.0000, 0.0000)
In (0.3333, 0.6667, 0.3343)
Ag (0.6667, 0.3333, 0.6878)

***

Record 6
AgP2: relaxed, GGA-PBEsol.

Spin magnetization in μB/f.u.: 0.0
Calculated formation energy in eV/atom: 0.287
Distance to the lowest polymorph of the same formula in meV/atom: 306
Total energy in eV per atom: -4.677
SG: Cmcm
DOS at the Fermi energy in states/eV per cell: 2.0

Cell lengths 9.0495, 9.0495, 3.1897 Å; angles 90.00, 90.00, 157.65 degrees
Positions (direct):
Ag (0.1172, 0.8828, 0.7500)
Ag (0.8828, 0.1172, 0.2500)
P (0.2585, 0.7415, 0.2500)
P (0.4564, 0.5436, 0.7500)
P (0.5436, 0.4564, 0.2500)
P (0.7415, 0.2585, 0.7500)

***

Record 7
Sc2CuTc: relaxed, GGA-PBEsol.

Spin magnetization in μB/f.u.: 0.0
Calculated formation energy in eV/atom: -0.194
Total energy in eV per atom: -7.397
SG: P4/mmm
DOS at the Fermi energy in states/eV per cell: 2.8

Cell lengths 4.4804, 4.4804, 3.2484 Å; angles 90.00, 90.00, 90.00 degrees
Positions (direct):
Sc (0.0000, 0.5000, 0.0000)
Sc (0.5000, 0.0000, 0.0000)
Cu (0.0000, 0.0000, 0.5000)
Tc (0.5000, 0.5000, 0.5000)

***

Record 8
Mg2TlPb: relaxed, GGA-PBEsol.

Spin magnetization in μB/f.u.: 0.0
Calculated formation energy in eV/atom: -0.059
Distance to the lowest polymorph of the same formula in meV/atom: 28
Total energy in eV per atom: -2.575
SG: I-4m2
DOS at the Fermi energy in states/eV per cell: 1.6

Cell lengths 5.9114, 5.9114, 5.9114 Å; angles 135.83, 135.83, 64.25 degrees
Positions (direct):
Mg (0.0000, 0.0000, 0.0000)
Mg (0.7500, 0.2500, 0.5000)
Tl (0.2500, 0.7500, 0.5000)
Pb (0.5000, 0.5000, 0.0000)

***

Record 9
LaGe3Ir: relaxed, GGA-PBEsol.

Spin magnetization in μB/f.u.: 0.0
Calculated formation energy in eV/atom: -0.770
Total energy in eV per atom: -6.768
SG: I4mm
DOS at the Fermi energy in states/eV per cell: 1.4

Cell lengths 5.9144, 5.9144, 5.9144 Å; angles 136.24, 136.24, 63.61 degrees
Positions (direct):
La (0.0000, 0.0000, 0.0000)
Ge (0.2356, 0.7356, 0.5000)
Ge (0.5787, 0.5787, 0.0000)
Ge (0.7356, 0.2356, 0.5000)
Ir (0.3409, 0.3409, 0.0000)

***

Record 10
Li2Ca2Se: relaxed, GGA-PBEsol.

Spin magnetization in μB/f.u.: 0.0
Total energy in eV per atom: -2.847
Formation energy from raw total energies in kJ/mol of formula units: -210.8
SG: P4/mbm
DOS at the Fermi energy in states/eV per cell: 7.7

Cell lengths 7.6367, 7.6367, 5.5040 Å; angles 90.00, 90.00, 90.00 degrees
Positions (direct):
Li (0.1313, 0.3687, 0.0000)
Li (0.3687, 0.8687, 0.0000)
Li (0.6313, 0.1313, 0.0000)
Li (0.8687, 0.6313, 0.0000)
Ca (0.1767, 0.6767, 0.5000)
Ca (0.3233, 0.1767, 0.5000)
Ca (0.6767, 0.8233, 0.5000)
Ca (0.8233, 0.3233, 0.5000)
Se (0.0000, 0.0000, 0.5000)
Se (0.5000, 0.5000, 0.5000)

***

Record 11
NiAgIr4: relaxed, GGA-PBEsol.

Spin magnetization in μB/f.u.: 3.1
Calculated formation energy in eV/atom: 0.731
Total energy in eV per atom: -7.396
SG: F-43m
DOS at the Fermi energy in states/eV per cell: 11.7

Cell lengths 5.0995, 5.0995, 5.0995 Å; angles 60.00, 60.00, 60.00 degrees
Positions (direct):
Ni (0.0000, 0.0000, 0.0000)
Ag (0.7500, 0.7500, 0.7500)
Ir (0.3747, 0.3747, 0.3747)
Ir (0.3747, 0.3747, 0.8758)
Ir (0.3747, 0.8758, 0.3747)
Ir (0.8758, 0.3747, 0.3747)

***

Record 12
NaIn2Bi2: relaxed, GGA-PBEsol.

Spin magnetization in μB/f.u.: 0.0
Calculated formation energy in eV/atom: -0.066
Distance to the lowest polymorph of the same formula in meV/atom: 0
Total energy in eV per atom: -3.253
SG: P4/mbm
DOS at the Fermi energy in states/eV per cell: 3.7

Cell lengths 8.5476, 8.5476, 4.0493 Å; angles 90.00, 90.00, 90.00 degrees
Positions (direct):
Na (0.0000, 0.0000, 0.0000)
Na (0.5000, 0.5000, 0.0000)
In (0.1462, 0.3538, 0.5000)
In (0.3538, 0.8538, 0.5000)
In (0.6462, 0.1462, 0.5000)
In (0.8538, 0.6462, 0.5000)
Bi (0.1469, 0.6469, 0.0000)
Bi (0.3531, 0.1469, 0.0000)
Bi (0.6469, 0.8531, 0.0000)
Bi (0.8531, 0.3531, 0.0000)

***

spin magnetization of number 11 (NiAgIr4)? 3.1 μB/f.u.

***

DOS at the Fermi energy of number 6 (AgP2)? 2.0 states/eV per cell

***

Look up the DOS at the Fermi energy of the eighth one. 1.6 states/eV per cell